A plane-wave DFT calculation with GGA-PBE was carried out for LiTbGeS4 after structural relaxation.

Lattice parameters (Å, degrees): 7.544 7.544 7.544 120.86 117.79 91.19
Fractional positions:
Li 0.500 0.000 0.000
Li 0.500 0.500 0.500
Tb 0.000 0.000 0.000
Tb 0.500 0.000 0.500
Ge 0.115 0.365 0.750
Ge 0.885 0.635 0.250
S 0.238 0.742 0.496
S 0.254 0.262 0.508
S 0.254 0.745 0.992
S 0.255 0.258 0.996
S 0.745 0.742 0.004
S 0.746 0.255 0.008
S 0.746 0.738 0.492
S 0.762 0.258 0.504

Results
**Symmetry**: No. 74
**Crystal system**: orthorhombic
**DOS at the Fermi energy**: 1.42 states/eV/cell
**Energy**: -5.03 eV per atom